NbInAgSe2S after structural relaxation. Source: OQMD, functional PBE-GGA.

symmetry	No. 63

Geometry as POSCAR:
```
NbInAgSe2S
1.0
1.8670 -7.1250 0.0000
1.8670 7.1250 0.0000
0.0000 0.0000 10.1198
Nb In Ag Se S
2 2 2 4 2
direct
0.0000 0.0000 0.0000 Nb
0.0000 0.0000 0.5000 Nb
0.2702 0.7298 0.7500 In
0.7298 0.2702 0.2500 In
0.4454 0.5546 0.2500 Ag
0.5546 0.4454 0.7500 Ag
0.3657 0.6343 0.0249 Se
0.3657 0.6343 0.4751 Se
0.6343 0.3657 0.5249 Se
0.6343 0.3657 0.9751 Se
0.0660 0.9340 0.2500 S
0.9340 0.0660 0.7500 S
```

NbInAgSeS2 after structural relaxation. Source: OQMD, functional PBE-GGA.

symmetry	No. 63

Geometry as POSCAR:
```
NbInAgSeS2
1.0
1.7534 -7.7694 0.0000
1.7534 7.7694 0.0000
0.0000 0.0000 10.1883
Nb In Ag Se S
2 2 2 2 4
direct
0.0000 0.0000 0.0000 Nb
0.0000 0.0000 0.5000 Nb
0.3238 0.6762 0.7500 In
0.6762 0.3238 0.2500 In
0.3202 0.6798 0.2500 Ag
0.6798 0.3202 0.7500 Ag
0.0354 0.9646 0.2500 Se
0.9646 0.0354 0.7500 Se
0.3865 0.6135 0.0261 S
0.3865 0.6135 0.4739 S
0.6135 0.3865 0.5261 S
0.6135 0.3865 0.9739 S
```

NbInAgTeSe2 after structural relaxation. Source: OQMD, functional PBE-GGA.

symmetry	No. 63

Geometry as POSCAR:
```
NbInAgTeSe2
1.0
1.8619 -7.5201 0.0000
1.8619 7.5201 0.0000
0.0000 0.0000 10.7251
Nb In Ag Te Se
2 2 2 2 4
direct
0.0000 0.0000 0.0000 Nb
0.0000 0.0000 0.5000 Nb
0.2309 0.7691 0.7500 In
0.7691 0.2309 0.2500 In
0.4447 0.5553 0.2500 Ag
0.5553 0.4447 0.7500 Ag
0.0849 0.9151 0.2500 Te
0.9151 0.0849 0.7500 Te
0.3747 0.6253 0.0303 Se
0.3747 0.6253 0.4697 Se
0.6253 0.3747 0.5303 Se
0.6253 0.3747 0.9697 Se
```

NbInAgTe3 after structural relaxation. Source: OQMD, functional PBE-GGA.

symmetry	No. 63

Geometry as POSCAR:
```
NbInAgTe3
1.0
1.9480 -7.6487 0.0000
1.9480 7.6487 0.0000
0.0000 0.0000 10.7426
Nb In Ag Te
2 2 2 6
direct
0.0000 0.0000 0.0000 Nb
0.0000 0.0000 0.5000 Nb
0.2355 0.7645 0.7500 In
0.7645 0.2355 0.2500 In
0.4569 0.5431 0.2500 Ag
0.5431 0.4569 0.7500 Ag
0.0848 0.9152 0.2500 Te
0.3637 0.6363 0.0336 Te
0.3637 0.6363 0.4664 Te
0.6363 0.3637 0.5336 Te
0.6363 0.3637 0.9664 Te
0.9152 0.0848 0.7500 Te
```

Nd5In4Ag after structural relaxation. Source: OQMD, functional PBE-GGA.

symmetry	No. 123

Geometry as POSCAR:
```
Nd5In4Ag
1.0
3.6900 0.0000 0.0000
0.0000 3.6900 0.0000
0.0000 0.0000 20.9294
Nd In Ag
5 4 1
direct
0.0000 0.0000 0.0000 Nd
0.0000 0.0000 0.2036 Nd
0.0000 0.0000 0.4063 Nd
0.0000 0.0000 0.5937 Nd
0.0000 0.0000 0.7964 Nd
0.5000 0.5000 0.1021 In
0.5000 0.5000 0.3074 In
0.5000 0.5000 0.6926 In
0.5000 0.5000 0.8979 In
0.5000 0.5000 0.5000 Ag
```

Nd3In3NiAg2 after structural relaxation. Source: OQMD, functional PBE-GGA.

symmetry	No. 189

Geometry as POSCAR:
```
Nd3In3NiAg2
1.0
7.8445 0.0000 0.0000
-3.9222 6.7935 0.0000
0.0000 0.0000 4.0718
Nd In Ni Ag
3 3 1 2
direct
0.0000 0.5983 0.0000 Nd
0.4017 0.4017 0.0000 Nd
0.5983 0.0000 0.0000 Nd
0.0000 0.2411 0.5000 In
0.2411 0.0000 0.5000 In
0.7589 0.7589 0.5000 In
0.0000 0.0000 0.0000 Ni
0.3333 0.6667 0.5000 Ag
0.6667 0.3333 0.5000 Ag
```

PrNd2In3Ni2Ag after structural relaxation. Source: OQMD, functional PBE-GGA.

symmetry	No. 38

Geometry as POSCAR:
```
PrNd2In3Ni2Ag
1.0
4.0406 0.0000 0.0000
0.0000 6.6634 3.8510
0.0000 -6.6634 3.8510
Pr Nd In Ni Ag
1 2 3 2 1
direct
0.0000 0.0000 0.0000 Pr
0.0000 0.1680 0.5840 Nd
0.0000 0.5840 0.1680 Nd
0.5000 0.3195 0.3195 In
0.5000 0.5827 0.8490 In
0.5000 0.8490 0.5827 In
0.5000 0.2514 0.9168 Ni
0.5000 0.9168 0.2514 Ni
0.0000 0.5835 0.5835 Ag
```

Pr2NdIn3Ni2Ag after structural relaxation. Source: OQMD, functional PBE-GGA.

symmetry	No. 38

Geometry as POSCAR:
```
Pr2NdIn3Ni2Ag
1.0
4.0561 0.0000 0.0000
0.0000 6.6782 3.8522
0.0000 -6.6782 3.8522
Pr Nd In Ni Ag
2 1 3 2 1
direct
0.0000 0.2080 0.7920 Pr
0.0000 0.7920 0.2080 Pr
0.0000 0.3759 0.3759 Nd
0.5000 0.0567 0.0567 In
0.5000 0.5278 0.7907 In
0.5000 0.7907 0.5278 In
0.5000 0.1261 0.4580 Ni
0.5000 0.4580 0.1261 Ni
0.0000 0.7915 0.7915 Ag
```

no.,V (Å³ per cell),total DFT energy (no corrections) (hartree per atom)
1,269,-0.17795
2,278,-0.18592
3,300,-0.16854
4,320,-0.15927
5,285,-0.15472
6,217,-0.15379
7,207,-0.16498
8,209,-0.16493